(1)
DFT (GGA-PBE) results for a relaxed Ca2TbGa crystal.

Summary:
E above lowest polymorph in meV/atom: 0

Lattice parameters (Å, degrees): 3.523 3.523 9.797 90.00 90.00 90.00
Space group P4/mmm (No. 123)
One atom of each set of equivalent atoms:
Ca 0.000 0.000 0.202
Tb 0.500 0.500 0.500
Ga 0.500 0.500 0.000


(2)
DFT (GGA-PBE) results for a relaxed Ca5TbGa6 crystal.

Summary:
Calculated total energy in eV per atom: -3.199

Lattice parameters (Å, degrees): 16.220 7.382 5.146 90.00 108.06 90.00
Space group C2/m (No. 12)
One atom of each set of equivalent atoms:
Ca 0.000 0.000 0.000
Ca 0.164 0.000 0.664
Ca 0.173 0.500 0.673
Tb 0.000 0.500 0.000
Ga 0.000 0.261 0.500
Ga 0.163 0.257 0.163


(3)
DFT (GGA-PBE) results for a relaxed CaTb2Ga9 crystal.

Summary:
Calculated total energy in eV per atom: -3.672

Lattice parameters (Å, degrees): 4.306 4.306 12.906 90.00 90.00 90.00
Space group P4/mmm (No. 123)
One atom of each set of equivalent atoms:
Ca 0.000 0.000 0.000
Tb 0.000 0.000 0.336
Ga 0.000 0.500 0.167
Ga 0.000 0.500 0.500
Ga 0.500 0.500 0.000
Ga 0.500 0.500 0.333


What total moment values result from the calculations? In sequence: 0.0 0.0 0.0 μB/cell.